! PBE+U Ti3Fe2SbP6O24, relaxed; values from VASP
! Final energy in eV/atom: -7.5605
! Fermi-level density of states in states/eV per atom: 0.171
&SYSTEM
  ibrav = 0, nat = 36, ntyp = 5
/
ATOMIC_SPECIES
Ti 47.87 Ti.upf
Fe 55.84 Fe.upf
Sb 121.76 Sb.upf
P 30.97 P.upf
O 16.00 O.upf
CELL_PARAMETERS angstrom
4.409 2.545 6.901
-4.409 2.545 6.901
0.000 -5.091 6.901
ATOMIC_POSITIONS crystal
Ti 0.000 0.000 0.000
Ti 0.210 0.210 0.210
Ti 0.703 0.703 0.703
Fe 0.354 0.354 0.354
Fe 0.853 0.853 0.853
Sb 0.503 0.503 0.503
P 0.095 0.814 0.400
P 0.291 0.602 0.910
P 0.400 0.095 0.814
P 0.602 0.910 0.291
P 0.814 0.400 0.095
P 0.910 0.291 0.602
O 0.021 0.871 0.243
O 0.101 0.293 0.444
O 0.102 0.763 0.940
O 0.161 0.972 0.363
O 0.243 0.021 0.871
O 0.252 0.622 0.403
O 0.290 0.537 0.773
O 0.293 0.444 0.101
O 0.363 0.161 0.972
O 0.403 0.252 0.622
O 0.444 0.101 0.293
O 0.463 0.664 0.838
O 0.537 0.773 0.290
O 0.593 0.936 0.793
O 0.622 0.403 0.252
O 0.664 0.838 0.463
O 0.763 0.940 0.102
O 0.773 0.290 0.537
O 0.793 0.593 0.936
O 0.838 0.463 0.664
O 0.871 0.243 0.021
O 0.936 0.793 0.593
O 0.940 0.102 0.763
O 0.972 0.363 0.161